A plane-wave DFT calculation with meta-GGA SCAN was carried out for a crystal of ErAgSe2 relaxed with PBEsol.

Results
Its uncorrected formation energy is -1310.2 meV per atom. Its calculated density is 7.871 g cm⁻³. Its crystal system is tetragonal. The calculation puts the calculated volume at 365 Å³ per cell. The total magnetization comes out at 0.000 μB/f.u.

CIF file:
```
data_ErAgSe2
_chemical_formula_sum 'Er4 Ag4 Se8'
_cell_length_a 5.5957
_cell_length_b 5.5957
_cell_length_c 11.6703
_cell_angle_alpha 90.00
_cell_angle_beta 90.00
_cell_angle_gamma 90.00
_symmetry_space_group_name_H-M 'I 41/a m d'
_symmetry_Int_Tables_number 141
loop_
_symmetry_equiv_pos_as_xyz
'x,y,z'
'-x,-y,-z'
'-y+1/4,x+3/4,z+1/4'
'y+1/4,-x+3/4,-z+1/4'
'-x+1/2,-y,z+1/2'
'x+1/2,y,-z+1/2'
'y+1/4,-x+1/4,z+3/4'
'-y+1/4,x+1/4,-z+3/4'
'x,-y,-z'
'-x,y,z'
'-y+1/4,-x+1/4,-z+3/4'
'y+1/4,x+1/4,z+3/4'
'-x+1/2,y,-z+1/2'
'x+1/2,-y,z+1/2'
'y+1/4,x+3/4,-z+1/4'
'-y+1/4,-x+3/4,z+1/4'
'x+1/2,y+1/2,z+1/2'
'-x+1/2,-y+1/2,-z+1/2'
'-y+3/4,x+1/4,z+3/4'
'y+3/4,-x+1/4,-z+3/4'
'-x,-y+1/2,z'
'x,y+1/2,-z'
'y+3/4,-x+3/4,z+1/4'
'-y+3/4,x+3/4,-z+1/4'
'x+1/2,-y+1/2,-z+1/2'
'-x+1/2,y+1/2,z+1/2'
'-y+3/4,-x+3/4,-z+1/4'
'y+3/4,x+3/4,z+1/4'
'-x,y+1/2,-z'
'x,-y+1/2,z'
'y+3/4,x+1/4,-z+3/4'
'-y+3/4,-x+1/4,z+3/4'
loop_
_atom_site_label
_atom_site_fract_x
_atom_site_fract_y
_atom_site_fract_z
Er1 0.0000 0.2500 0.3750
Ag1 0.0000 0.2500 0.8750
Se1 0.0000 0.2500 0.1342
```